1:
Density functional theory data (PBE) for an optimized crystal structure of Sn3BrCl.

Values from the calculation:
N(E_F) = 5.37 states/eV per cell
magnetization = 0.0 μB/f.u.

Cell: 5.7024 5.7024 5.7024 Å, 90.00 90.00 90.00°
Sites, in units of the cell vectors:
Sn  0.0000  0.5000  0.0000
Sn  0.0000  0.0000  0.5000
Sn  0.5000  0.0000  0.0000
Br  0.0000  0.0000  0.0000
Cl  0.5000  0.5000  0.5000



2:
Density functional theory data (PBE) for an optimized crystal structure of Sn3BrCl.

Values from the calculation:
N(E_F) = 6.60 states/eV per cell
magnetization = 0.0 μB/f.u.

Cell: 5.5637 5.5637 5.5637 Å, 90.00 90.00 90.00°
Sites, in units of the cell vectors:
Sn  0.0000  0.5000  0.0000
Sn  0.0000  0.0000  0.5000
Sn  0.5000  0.0000  0.0000
Br  0.5000  0.5000  0.5000
Cl  0.0000  0.0000  0.0000



Sorted by energy, starting with the most stable: 2, 1.



1:
Density functional theory data (PBE) for an optimized crystal structure of TlSnBrCl2.

Values from the calculation:
magnetization = 0.0 μB/f.u.

Cell: 7.6252 7.6252 8.0325 Å, 118.34 118.34 90.00°
Sites, in units of the cell vectors:
Tl  0.7755  0.2755  0.5511
Tl  0.2755  0.7755  0.5511
Sn  0.9969  0.9969  0.9937
Sn  0.4969  0.4969  0.9937
Br  0.7534  0.7534  0.5067
Br  0.2534  0.2534  0.5067
Cl  0.3134  0.8134  0.9745
Cl  0.8134  0.6611  0.9745
Cl  0.6611  0.1611  0.9745
Cl  0.1611  0.3134  0.9745



2:
Density functional theory data (PBE) for an optimized crystal structure of TlSnBrCl2.

Values from the calculation:
N(E_F) = 0.00 states/eV per cell
magnetization = 0.0 μB/f.u.

Cell: 5.5361 5.5361 5.8860 Å, 90.00 90.00 90.00°
Sites, in units of the cell vectors:
Tl  0.5000  0.5000  0.5000
Sn  0.0000  0.0000  0.0000
Br  0.0000  0.0000  0.5000
Cl  0.0000  0.5000  0.0000
Cl  0.5000  0.0000  0.0000



Sorted by energy, starting with the most stable: 1, 2.



1:
Density functional theory data (PBE) for an optimized crystal structure of SrBr2Cl.

Values from the calculation:
N(E_F) = 3.52 states/eV per cell
magnetization = 1.0 μB/f.u.

Cell: 5.6358 5.6358 5.6358 Å, 126.21 126.21 79.55°
Sites, in units of the cell vectors:
Sr  0.7500  0.2500  0.5000
Br  0.0000  0.0000  0.0000
Br  0.2500  0.7500  0.5000
Cl  0.5000  0.5000  0.0000



2:
Density functional theory data (PBE) for an optimized crystal structure of SrBr2Cl.

Values from the calculation:
N(E_F) = 0.43 states/eV per cell
magnetization = 0.0 μB/f.u.

Cell: 5.4458 5.3554 5.6047 Å, 59.20 90.00 90.00°
Sites, in units of the cell vectors:
Sr  0.5000  0.5109  0.7218
Br  0.0000  0.1375  0.9424
Br  0.5000  0.1956  0.3854
Cl  0.0000  0.6560  0.4504



Sorted by energy, starting with the most stable: 2, 1.



1:
Density functional theory data (PBE) for an optimized crystal structure of SrBr2Cl.

Values from the calculation:
N(E_F) = 5.26 states/eV per cell
magnetization = 0.0 μB/f.u.

Cell: 4.4658 4.4658 12.3611 Å, 79.59 79.59 90.00°
Sites, in units of the cell vectors:
Sr  0.0000  0.0000  0.0000
Sr  0.7500  0.2500  0.5000
Br  0.6345  0.1250  0.2500
Br  0.1155  0.6250  0.2500
Br  0.3750  0.3655  0.7500
Br  0.8750  0.8845  0.7500
Cl  0.5000  0.5000  0.0000
Cl  0.2500  0.7500  0.5000



2:
Density functional theory data (PBE) for an optimized crystal structure of SrBr2Cl.

Values from the calculation:
N(E_F) = 1.45 states/eV per cell
magnetization = 0.0 μB/f.u.

Cell: 4.7152 4.7147 5.6283 Å, 90.00 90.00 90.00°
Sites, in units of the cell vectors:
Sr  0.5000  0.5000  0.7500
Br  0.0000  0.0000  0.9990
Br  0.0000  0.0000  0.5010
Cl  0.5000  0.5000  0.2500



3:
Density functional theory data (PBE) for an optimized crystal structure of SrBr2Cl.

Values from the calculation:
N(E_F) = 0.00 states/eV per cell
magnetization = 1.0 μB/f.u.

Cell: 9.0413 9.0413 9.0413 Å, 30.88 30.88 30.88°
Sites, in units of the cell vectors:
Sr  0.5000  0.5000  0.5000
Br  0.8873  0.8873  0.8873
Br  0.1127  0.1127  0.1127
Cl  0.0000  0.0000  0.0000



Sorted by energy, starting with the most stable: 2, 1, 3.



1:
Density functional theory data (PBE) for an optimized crystal structure of SrBr2Cl.

Values from the calculation:
N(E_F) = 1.24 states/eV per cell
magnetization = 0.0 μB/f.u.

Cell: 4.8375 5.6890 5.6704 Å, 59.87 90.00 90.00°
Sites, in units of the cell vectors:
Sr  0.5000  0.7500  0.7500
Br  0.0000  0.9727  0.9724
Br  0.0000  0.5273  0.5276
Cl  0.5000  0.2500  0.2500



2:
Density functional theory data (PBE) for an optimized crystal structure of SrBr2Cl.

Values from the calculation:
N(E_F) = 0.65 states/eV per cell
magnetization = 1.0 μB/f.u.

Cell: 5.5043 5.5043 6.4628 Å, 76.26 76.26 46.29°
Sites, in units of the cell vectors:
Sr  0.2704  0.2704  0.3642
Br  0.9188  0.9188  0.0262
Br  0.7461  0.7461  0.7306
Cl  0.5647  0.5647  0.3790



Sorted by energy, starting with the most stable: 1, 2.



1:
Density functional theory data (PBE) for an optimized crystal structure of SrBr2Cl.

Values from the calculation:
N(E_F) = 4.80 states/eV per cell
magnetization = 1.0 μB/f.u.

Cell: 3.7132 3.7132 10.8752 Å, 90.00 90.00 89.99°
Sites, in units of the cell vectors:
Sr  0.5000  0.5000  0.7385
Br  0.0000  0.0000  0.9065
Br  0.5000  0.5000  0.2576
Cl  0.0000  0.0000  0.5974



2:
Density functional theory data (PBE) for an optimized crystal structure of SrBr2Cl.

Values from the calculation:
N(E_F) = 0.60 states/eV per cell
magnetization = 1.0 μB/f.u.

Cell: 7.3538 7.3538 7.3538 Å, 146.27 135.94 56.61°
Sites, in units of the cell vectors:
Sr  0.7269  0.2269  0.5000
Br  0.9014  0.9014  0.0000
Br  0.2850  0.7850  0.5000
Cl  0.5867  0.5867  0.0000



Sorted by energy, starting with the most stable: 2, 1.



1:
Density functional theory data (PBE) for an optimized crystal structure of SrBr2Cl.

Values from the calculation:
N(E_F) = 6.64 states/eV per cell
magnetization = 1.0 μB/f.u.

Cell: 5.4486 5.4486 5.4486 Å, 60.00 60.00 60.00°
Sites, in units of the cell vectors:
Sr  0.5000  0.5000  0.5000
Br  0.2500  0.2500  0.2500
Br  0.7500  0.7500  0.7500
Cl  0.0000  0.0000  0.0000



2:
Density functional theory data (PBE) for an optimized crystal structure of SrBr2Cl.

Values from the calculation:
N(E_F) = 5.81 states/eV per cell
magnetization = 1.1 μB/f.u.

Cell: 6.5191 6.5191 6.5191 Å, 45.76 45.76 45.76°
Sites, in units of the cell vectors:
Sr  0.7500  0.7500  0.7500
Br  0.0167  0.0167  0.0167
Br  0.4833  0.4833  0.4833
Cl  0.2500  0.2500  0.2500



Sorted by energy, starting with the most stable: 2, 1.



1:
Density functional theory data (PBE) for an optimized crystal structure of SrBr2Cl.

Values from the calculation:
N(E_F) = 1.82 states/eV per cell
magnetization = 0.0 μB/f.u.

Cell: 4.7193 4.7193 5.4268 Å, 90.00 90.00 105.22°
Sites, in units of the cell vectors:
Sr  0.0000  0.5000  0.5000
Br  0.0000  0.0000  0.0000
Br  0.5000  0.5000  0.0000
Cl  0.5000  0.0000  0.5000



2:
Density functional theory data (PBE) for an optimized crystal structure of SrBr2Cl.

Values from the calculation:
N(E_F) = 2.22 states/eV per cell
magnetization = 0.0 μB/f.u.

Cell: 6.3783 6.3783 6.3783 Å, 139.14 139.14 59.16°
Sites, in units of the cell vectors:
Sr  0.7500  0.2500  0.5000
Br  0.0000  0.0000  0.0000
Br  0.5000  0.5000  0.0000
Cl  0.2500  0.7500  0.5000



3:
Density functional theory data (PBE) for an optimized crystal structure of SrBr2Cl.

Values from the calculation:
N(E_F) = 1.40 states/eV per cell
magnetization = 0.0 μB/f.u.

Cell: 6.1416 6.1416 5.1234 Å, 75.22 75.22 124.97°
Sites, in units of the cell vectors:
Sr  0.0000  0.5000  0.5000
Br  0.0000  0.0000  0.0000
Br  0.5000  0.5000  0.0000
Cl  0.5000  0.0000  0.5000



Sorted by energy, starting with the most stable: 1, 3, 2.



1:
Density functional theory data (PBE) for an optimized crystal structure of Sr2BrCl3.

Values from the calculation:
N(E_F) = 0.00 states/eV per cell
magnetization = 0.0 μB/f.u.

Cell: 4.5510 6.8689 6.8689 Å, 92.20 90.00 90.00°
Sites, in units of the cell vectors:
Sr  0.0000  0.0116  0.9884
Sr  0.5000  0.4933  0.5067
Br  0.5000  0.8043  0.1957
Cl  0.5000  0.1972  0.8028
Cl  0.0000  0.6905  0.6969
Cl  0.0000  0.3031  0.3095



2:
Density functional theory data (PBE) for an optimized crystal structure of Sr2BrCl3.

Values from the calculation:
N(E_F) = 0.00 states/eV per cell
magnetization = 0.0 μB/f.u.

Cell: 4.5823 9.2316 11.3319 Å, 75.10 78.34 75.63°
Sites, in units of the cell vectors:
Sr  0.8654  0.4139  0.8554
Sr  0.1346  0.5861  0.1446
Sr  0.6240  0.1886  0.5634
Sr  0.3760  0.8114  0.4366
Br  0.4132  0.5085  0.6651
Br  0.5868  0.4915  0.3349
Cl  0.0532  0.1557  0.7379
Cl  0.9468  0.8443  0.2621
Cl  0.6738  0.6712  0.9812
Cl  0.3262  0.3288  0.0188
Cl  0.7761  0.8555  0.5923
Cl  0.2239  0.1445  0.4077



Sorted by energy, starting with the most stable: 1, 2.



1:
Density functional theory data (PBE) for an optimized crystal structure of Sr2Br3Cl.

Values from the calculation:
N(E_F) = 0.00 states/eV per cell
magnetization = 0.0 μB/f.u.

Cell: 4.7612 9.0689 11.4565 Å, 67.94 78.01 74.78°
Sites, in units of the cell vectors:
Sr  0.8579  0.4566  0.8275
Sr  0.1421  0.5434  0.1725
Sr  0.6141  0.1974  0.5744
Sr  0.3859  0.8026  0.4256
Br  0.0515  0.1388  0.7583
Br  0.9485  0.8612  0.2417
Br  0.6639  0.6827  0.9895
Br  0.3361  0.3173  0.0105
Br  0.7832  0.8256  0.6080
Br  0.2168  0.1744  0.3920
Cl  0.4252  0.4949  0.6547
Cl  0.5748  0.5051  0.3453



2:
Density functional theory data (PBE) for an optimized crystal structure of Sr2Br3Cl.

Values from the calculation:
N(E_F) = 0.00 states/eV per cell
magnetization = 0.0 μB/f.u.

Cell: 8.4638 8.4638 8.4638 Å, 105.95 109.01 113.55°
Sites, in units of the cell vectors:
Sr  0.2673  0.2500  0.5173
Sr  0.0000  0.5000  0.0000
Sr  0.5000  0.0000  0.0000
Sr  0.7327  0.7500  0.4827
Br  0.0466  0.7500  0.7966
Br  0.9534  0.2500  0.2034
Br  0.5000  0.3030  0.3030
Br  0.0000  0.8030  0.3030
Br  0.0000  0.1970  0.6970
Br  0.5000  0.6970  0.6970
Cl  0.5645  0.2500  0.8145
Cl  0.4355  0.7500  0.1855



Sorted by energy, starting with the most stable: 1, 2.



1:
Density functional theory data (PBE) for an optimized crystal structure of SrBrCl3.

Values from the calculation:
N(E_F) = 8.20 states/eV per cell
magnetization = 2.0 μB/f.u.

Cell: 5.7189 5.7189 5.7189 Å, 90.00 90.00 90.00°
Sites, in units of the cell vectors:
Sr  0.0000  0.0000  0.0000
Br  0.5000  0.5000  0.5000
Cl  0.0000  0.5000  0.0000
Cl  0.0000  0.0000  0.5000
Cl  0.5000  0.0000  0.0000



2:
Density functional theory data (PBE) for an optimized crystal structure of SrBrCl3.

Values from the calculation:
N(E_F) = 0.00 states/eV per cell
magnetization = 0.0 μB/f.u.

Cell: 8.6374 8.4065 10.0684 Å, 90.00 72.65 90.00°
Sites, in units of the cell vectors:
Sr  0.8368  0.6325  0.1952
Sr  0.6632  0.1325  0.3048
Sr  0.1632  0.3675  0.8048
Sr  0.3368  0.8675  0.6952
Br  0.5046  0.4428  0.1929
Br  0.9954  0.9428  0.3071
Br  0.4954  0.5572  0.8071
Br  0.0046  0.0572  0.6929
Cl  0.1284  0.6276  0.6238
Cl  0.3716  0.1276  0.8762
Cl  0.8716  0.3724  0.3762
Cl  0.6284  0.8724  0.1238
Cl  0.8162  0.9617  0.8860
Cl  0.6838  0.4617  0.6140
Cl  0.1838  0.0383  0.1140
Cl  0.3162  0.5383  0.3860
Cl  0.6407  0.8353  0.4689
Cl  0.8593  0.3353  0.0311
Cl  0.3593  0.1647  0.5311
Cl  0.1407  0.6647  0.9689



3:
Density functional theory data (PBE) for an optimized crystal structure of SrBrCl3.

Values from the calculation:
N(E_F) = 1.77 states/eV per cell
magnetization = 0.0 μB/f.u.

Cell: 5.4619 5.4619 5.4619 Å, 90.00 90.00 90.00°
Sites, in units of the cell vectors:
Sr  0.5000  0.5000  0.5000
Br  0.0000  0.0000  0.0000
Cl  0.0000  0.5000  0.0000
Cl  0.0000  0.0000  0.5000
Cl  0.5000  0.0000  0.0000



Sorted by energy, starting with the most stable: 2, 1, 3.